AcPrGe2Au2: relaxed, PBE.

M_tot in μB per formula unit: 0.00
Uncorrected energy in eV/atom: -4.941
Calculated formation energy in eV per formula unit: -4.97

Unit cell a=4.5457 b=4.5457 c=8.3233 alpha=90.00 beta=90.00 gamma=120.00
Space group P-3m1 (No. 164)
Symmetry-distinct sites (fractional):
Ac: 0.0000 0.0000 0.0000
Pr: 0.0000 0.0000 0.5000
Ge: 0.3333 0.6667 0.7415
Au: 0.3333 0.6667 0.2681